# 1
The following is a DFT calculation (PBE-GGA) of a relaxed SrLa3Ir crystal.

Unit cell a=6.9601 b=6.9601 c=10.5629 alpha=90.00 beta=90.00 gamma=57.68
Closest atoms and distances in Å follow each position.
Positions (direct):
Sr 0.4622 0.5378 0.2500  2 Ir 3.27-3.44, 4 La 3.54-3.58
Sr 0.5378 0.4622 0.7500  2 Ir 3.27-3.44, 4 La 3.54-3.58
Ir 0.9497 0.0503 0.2500  4 La 2.66-2.86
Ir 0.0503 0.9497 0.7500  4 La 2.66-2.86
La 0.5893 0.9674 0.2500  1 Ir 2.86
La 0.0326 0.4107 0.2500  1 Ir 2.86
La 0.9674 0.5893 0.7500  1 Ir 2.86
La 0.4107 0.0326 0.7500  1 Ir 2.86
La 0.0000 0.0000 0.0000  2 Ir 2.66
La 0.0000 0.0000 0.5000  2 Ir 2.66

Results
Total DFT energy (no corrections) ... -49.79 eV/cell
Polymorph energy (0 for the lowest one) ... 408.5 meV/atom
Crystal system ... orthorhombic
Space group ... No. 63
Total magnetization ... 0.000 μB/cell
Energy relative to the elements ... 0.0860 eV/atom

***

# 2
The following is a DFT calculation (PBE-GGA) of a relaxed RbPuI6 crystal.

Unit cell a=7.2451 b=7.2451 c=9.5905 alpha=111.77 beta=114.08 gamma=88.22
Closest atoms and distances in Å follow each position.
Positions (direct):
Rb 0.0000 0.5000 0.5000  6 I 3.88-4.01
Pu 0.0000 0.0000 0.0000  6 I 2.92-2.97
I 0.9332 0.9240 0.2604  1 Pu 2.97
I 0.3364 0.3272 0.2604  1 Pu 2.97
I 0.6636 0.6728 0.7396  1 Pu 2.97
I 0.0668 0.0760 0.7396  1 Pu 2.97
I 0.2885 0.7087 0.9973  1 Pu 2.92
I 0.7115 0.2913 0.0027  1 Pu 2.92

Results
Total DFT energy (no corrections) ... -31.52 eV/cell
Polymorph energy (0 for the lowest one) ... 0.0 meV/atom
Crystal system ... monoclinic
Space group ... No. 12
Total magnetization ... 2.976 μB/cell
ΔE_f (raw) ... -0.86 eV per atom